1.
Below is Ba2SrI6 after structural relaxation, with properties calculated at the GGA-PBEsol level.

DOS(E_F) (states/eV/atom): 0.00
Formation energy without anion corrections (kJ per mole of atoms): -162.0
ΔE to the lowest computed polymorph (meV per atom): 76
Space-group type: P4_2/mnm (136)
DFT total energy (eV/atom): -3.54

a b c (Å): 7.8305 7.8305 15.3586
angles (deg): 90.00 90.00 90.00
Element x y z (fractional)
I1 0.3075 0.3075 0.8405
Ba1 0.5000 0.5000 0.3336
I2 0.7049 0.7049 0.5000
I3 0.7951 0.2049 0.0000
I4 0.1925 0.8075 0.3405
I5 0.3075 0.3075 0.1595
I6 0.8075 0.1925 0.6595
Ba2 0.0000 0.0000 0.1664
I7 0.1925 0.8075 0.6595
I8 0.6925 0.6925 0.1595
Ba3 0.5000 0.5000 0.6664
I9 0.6925 0.6925 0.8405
Sr1 0.0000 0.0000 0.5000
I10 0.2049 0.7951 0.0000
Sr2 0.5000 0.5000 0.0000
I11 0.8075 0.1925 0.3405
I12 0.2951 0.2951 0.5000
Ba4 0.0000 0.0000 0.8336

***

2.
Below is BaSr2I6 after structural relaxation, with properties calculated at the GGA-PBEsol level.

DOS(E_F) (states/eV/atom): 0.00
Formation energy without anion corrections (kJ per mole of atoms): -160.2
ΔE to the lowest computed polymorph (meV per atom): 29
Space-group type: P321 (150)
DFT total energy (eV/atom): -3.49

a b c (Å): 7.2327 14.2895 14.2895
angles (deg): 120.00 90.00 90.00
Element x y z (fractional)
I1 0.2561 0.2299 0.1328
I2 0.2376 0.2235 0.7867
I3 0.7624 0.7867 0.2235
I4 0.7439 0.0971 0.8672
I5 0.2469 0.5693 0.4657
Sr1 0.5000 0.0000 0.3157
I6 0.7439 0.1328 0.2299
Ba1 0.0000 0.0000 0.0000
I7 0.7439 0.7701 0.9029
Sr2 0.5000 0.6843 0.6843
Sr3 0.0000 0.6507 0.0000
Sr4 0.0000 0.3493 0.3493
Sr5 0.0000 0.0000 0.6507
I8 0.7624 0.4368 0.2133
I9 0.7624 0.7765 0.5632
I10 0.7531 0.4307 0.8963
Ba2 0.5041 0.6667 0.3333
I11 0.2561 0.8672 0.0971
I12 0.2561 0.9029 0.7701
Ba3 0.4959 0.3333 0.6667
I13 0.7531 0.1037 0.5343
I14 0.2469 0.5343 0.1037
Sr6 0.5000 0.3157 0.0000
I15 0.7531 0.4657 0.5693
I16 0.2376 0.5632 0.7765
I17 0.2469 0.8963 0.4307
I18 0.2376 0.2133 0.4368

***

Please write out number 1 again, unchanged.
Below is Ba2SrI6 after structural relaxation, with properties calculated at the GGA-PBEsol level.

DOS(E_F) (states/eV/atom): 0.00
Formation energy without anion corrections (kJ per mole of atoms): -162.0
ΔE to the lowest computed polymorph (meV per atom): 76
Space-group type: P4_2/mnm (136)
DFT total energy (eV/atom): -3.54

a b c (Å): 7.8305 7.8305 15.3586
angles (deg): 90.00 90.00 90.00
Element x y z (fractional)
I1 0.3075 0.3075 0.8405
Ba1 0.5000 0.5000 0.3336
I2 0.7049 0.7049 0.5000
I3 0.7951 0.2049 0.0000
I4 0.1925 0.8075 0.3405
I5 0.3075 0.3075 0.1595
I6 0.8075 0.1925 0.6595
Ba2 0.0000 0.0000 0.1664
I7 0.1925 0.8075 0.6595
I8 0.6925 0.6925 0.1595
Ba3 0.5000 0.5000 0.6664
I9 0.6925 0.6925 0.8405
Sr1 0.0000 0.0000 0.5000
I10 0.2049 0.7951 0.0000
Sr2 0.5000 0.5000 0.0000
I11 0.8075 0.1925 0.3405
I12 0.2951 0.2951 0.5000
Ba4 0.0000 0.0000 0.8336

***

Q: Among the records above, which one has the highest DFT total energy?
A: BaSr2I6